Ca3TlN after structural relaxation. Source: Alexandria, functional GGA-PBE.

Structure (extended XYZ):
```
5
Lattice="-1.914 3.460 -4.441 -5.061 -3.111 -0.243 -2.465 3.702 3.947" Properties=species:S:1:pos:R:3 pbc="T T T"
N -4.720 2.025 -0.368
Ca -2.531 -1.556 -0.121
Ca -1.232 1.851 1.973
Ca -0.957 1.730 -2.220
Tl 0.000 0.000 0.000
```

**Fermi-level density of states**: 4.8 states/eV/f.u.
**Energy relative to the lowest polymorph listed for this composition**: 7.76 eV/f.u.
**Calculated volume**: 42.0 Å³ per atom
**Formation energy (no corrections)**: 0.9138 eV/atom
**Magnetization**: 1.9 μB per formula unit